[1]
ZrTlRe2: relaxed, GGA-PBE.

theoretical density: 13.74 g/cm³
formation enthalpy at 0 K: 1.22 eV per atom
energy above the most stable polymorph in this dataset: 1071 meV per atom
size of the total moment: 0.7 μB per cell

abc: 6.063 6.063 6.063
angles: 102.14 102.14 125.40
Positions (direct):
1 Zr 0.000 0.000 0.000
2 Zr 0.750 0.250 0.500
3 Tl 0.250 0.750 0.500
4 Tl 0.500 0.500 0.000
5 Re 0.114 0.625 0.989
6 Re 0.375 0.364 0.489
7 Re 0.636 0.125 0.011
8 Re 0.875 0.886 0.511

***

[2]
Ca3Al7Hg4: relaxed, GGA-PBE.

theoretical density: 6.10 g/cm³
formation enthalpy at 0 K: -0.25 eV per atom
size of the total moment: 0.0 μB per cell

abc: 8.581 8.581 10.187
angles: 126.11 126.11 30.62
Positions (direct):
1 Ca 0.000 0.000 0.000
2 Ca 0.302 0.302 0.302
3 Ca 0.698 0.698 0.698
4 Al 0.000 0.000 0.500
5 Al 0.140 0.140 0.423
6 Al 0.342 0.342 0.979
7 Al 0.497 0.497 0.683
8 Al 0.503 0.503 0.317
9 Al 0.658 0.658 0.021
10 Al 0.860 0.860 0.577
11 Hg 0.138 0.138 0.860
12 Hg 0.344 0.344 0.716
13 Hg 0.656 0.656 0.284
14 Hg 0.862 0.862 0.140